Li2TbGaO4 | PBE | relaxed

abc: 3.238 6.156 9.403
angles: 90.00 90.00 105.25
Element x y z (fractional)
Li  0.407  0.815  0.965
Li  0.593  0.185  0.035
O  0.000  0.000  0.000
Li  0.593  0.185  0.465
O  0.392  0.783  0.750
Ga  0.202  0.404  0.250
O  0.608  0.217  0.250
Tb  0.920  0.841  0.250
O  0.681  0.363  0.621
O  0.681  0.363  0.879
O  0.319  0.637  0.121
Ga  0.798  0.596  0.750
Li  0.407  0.815  0.535
Tb  0.080  0.159  0.750
O  0.319  0.637  0.379
O  0.000  0.000  0.500

## Properties
Fermi-level density of states = 0.000 states/eV per atom
Magnetic moment = 0.0 μB/cell
Calculated total energy = -6.10 eV/atom